Crystalline BaCeZn10 at its relaxed geometry, computed with PBE-GGA.

The calculation puts the mass density at 6787 kg/m³. As for the formation energy: -0.20 eV/atom.

abc: 4.2964 5.5521 9.5552
angles: 90.00 90.00 90.00
Site moments in Bohr magnetons follow the coordinates.
Sites, in units of the cell vectors:
1 Ba 0.0000 0.0000 0.0000  0.00
2 Ce 0.0000 0.5000 0.5000  0.64
3 Zn 0.0000 0.0000 0.3403  0.00
4 Zn 0.0000 0.5000 0.8261  0.00
5 Zn 0.0000 0.5000 0.1739  0.00
6 Zn 0.0000 0.0000 0.6597  0.00
7 Zn 0.5000 0.0000 0.5000  0.00
8 Zn 0.5000 0.5000 0.0000  0.00
9 Zn 0.5000 0.2620 0.2677  0.00
10 Zn 0.5000 0.7380 0.7323  0.00
11 Zn 0.5000 0.7380 0.2677  0.00
12 Zn 0.5000 0.2620 0.7323  0.00